w:
A geometry-optimized Li3BiF structure, computed with PBE.

Lattice parameters (Å, degrees): 4.2771 4.2771 4.2771 90.00 90.00 90.00
Closest atoms and distances in Å follow each position.
Fractional coordinates of all 5 atoms:
Li (0.0000, 0.0000, 0.5000)  2 F 2.14
Li (0.0000, 0.5000, 0.0000)  2 F 2.14
Li (0.5000, 0.0000, 0.0000)  2 F 2.14
Bi (0.5000, 0.5000, 0.5000)  12 Li 3.02
F (0.0000, 0.0000, 0.0000)  6 Li 2.14

N(E_F)	2.0	states/eV/f.u.

x:
A geometry-optimized Li3BiF structure, computed with PBE.

Lattice parameters (Å, degrees): 5.3500 5.3500 5.3500 90.00 90.00 90.00
Closest atoms and distances in Å follow each position.
Fractional coordinates of all 5 atoms:
Li (0.0000, 0.0000, 0.5000)  2 Bi 2.68
Li (0.0000, 0.5000, 0.0000)  2 Bi 2.68
Li (0.5000, 0.0000, 0.0000)  2 Bi 2.68
Bi (0.0000, 0.0000, 0.0000)  6 Li 2.68
F (0.5000, 0.5000, 0.5000)  12 Li 3.78

N(E_F)	8.2	states/eV/f.u.

y:
A geometry-optimized Li3BiF structure, computed with PBE.

Lattice parameters (Å, degrees): 6.7001 6.7001 6.4310 107.21 107.21 41.73
Closest atoms and distances in Å follow each position.
Fractional coordinates of all 10 atoms:
Li (0.0966, 0.0966, 0.1749)  1 F 1.84
Li (0.1564, 0.1564, 0.7440)  1 F 1.86
Li (0.3384, 0.3384, 0.5489)  1 F 1.93
Li (0.6616, 0.6616, 0.4511)  1 F 1.93
Li (0.8436, 0.8436, 0.2560)  1 F 1.86
Li (0.9034, 0.9034, 0.8251)  1 F 1.84
Bi (0.3880, 0.3880, 0.0674)  5 Li 2.81-2.99
Bi (0.6120, 0.6120, 0.9326)  5 Li 2.81-2.99
F (0.1767, 0.1767, 0.4697)  3 Li 1.84-1.93
F (0.8233, 0.8233, 0.5303)  3 Li 1.84-1.93

N(E_F)	0.1	states/eV/f.u.

Stability check: which of them is most stable? y.

w:
A geometry-optimized LiBiF6 structure, computed with PBE.

Lattice parameters (Å, degrees): 5.6685 5.6685 5.6685 56.21 56.21 56.21
Closest atoms and distances in Å follow each position.
Fractional coordinates of all 8 atoms:
Li (0.0000, 0.0000, 0.0000)  6 F 2.06
Bi (0.5000, 0.5000, 0.5000)  6 F 2.05
F (0.1274, 0.7491, 0.3746)  1 Bi 2.05, 1 Li 2.06
F (0.2509, 0.6254, 0.8726)  1 Bi 2.05, 1 Li 2.06
F (0.3746, 0.1274, 0.7491)  1 Bi 2.05, 1 Li 2.06
F (0.6254, 0.8726, 0.2509)  1 Bi 2.05, 1 Li 2.06
F (0.7491, 0.3746, 0.1274)  1 Bi 2.05, 1 Li 2.06
F (0.8726, 0.2509, 0.6254)  1 Bi 2.05, 1 Li 2.06

N(E_F)	0.0	states/eV/f.u.

x:
A geometry-optimized LiBiF6 structure, computed with PBE.

Lattice parameters (Å, degrees): 5.1991 5.1991 9.7880 90.00 90.00 120.00
Closest atoms and distances in Å follow each position.
Fractional coordinates of all 16 atoms:
Li (0.3333, 0.6667, 0.2500)  6 F 2.08
Li (0.6667, 0.3333, 0.7500)  6 F 2.08
Bi (0.0000, 0.0000, 0.0000)  6 F 2.05
Bi (0.0000, 0.0000, 0.5000)  6 F 2.05
F (0.0283, 0.3334, 0.1221)  1 Bi 2.05, 1 Li 2.08
F (0.0283, 0.6949, 0.3779)  1 Bi 2.05, 1 Li 2.08
F (0.3051, 0.3334, 0.3779)  1 Bi 2.05, 1 Li 2.08
F (0.3051, 0.9717, 0.1221)  1 Bi 2.05, 1 Li 2.08
F (0.3334, 0.0283, 0.6221)  1 Bi 2.05, 1 Li 2.08
F (0.3334, 0.3051, 0.8779)  1 Bi 2.05, 1 Li 2.08
F (0.6666, 0.6949, 0.1221)  1 Bi 2.05, 1 Li 2.08
F (0.6666, 0.9717, 0.3779)  1 Bi 2.05, 1 Li 2.08
F (0.6949, 0.0283, 0.8779)  1 Bi 2.05, 1 Li 2.08
F (0.6949, 0.6666, 0.6221)  1 Bi 2.05, 1 Li 2.08
F (0.9717, 0.3051, 0.6221)  1 Bi 2.05, 1 Li 2.08
F (0.9717, 0.6666, 0.8779)  1 Bi 2.05, 1 Li 2.08

N(E_F)	0.0	states/eV/f.u.

Stability check: which of them is most stable? w.

w:
A geometry-optimized LiBiF4 structure, computed with PBE.

Lattice parameters (Å, degrees): 6.8013 6.8013 6.8013 133.62 133.62 67.67
Closest atoms and distances in Å follow each position.
Fractional coordinates of all 12 atoms:
Li (0.3750, 0.1250, 0.2500)  4 F 1.94
Li (0.6250, 0.8750, 0.7500)  4 F 1.94
Bi (0.1250, 0.3750, 0.7500)  8 F 2.36-2.42
Bi (0.8750, 0.6250, 0.2500)  8 F 2.36-2.42
F (0.1329, 0.3208, 0.3648)  1 Li 1.94
F (0.1792, 0.0440, 0.8121)  1 Li 1.94
F (0.2681, 0.6329, 0.3121)  1 Li 1.94
F (0.4560, 0.7681, 0.1352)  1 Li 1.94
F (0.5440, 0.2319, 0.8648)  1 Li 1.94
F (0.7319, 0.3671, 0.6879)  1 Li 1.94
F (0.8208, 0.9560, 0.1879)  1 Li 1.94
F (0.8671, 0.6792, 0.6352)  1 Li 1.94

N(E_F)	0.0	states/eV/f.u.

x:
A geometry-optimized LiBiF4 structure, computed with PBE.

Lattice parameters (Å, degrees): 4.8995 4.8995 3.7086 90.00 90.00 93.48
Closest atoms and distances in Å follow each position.
Fractional coordinates of all 6 atoms:
Li (0.0000, 0.0000, 0.0000)  2 F 1.95
Bi (0.5000, 0.5000, 0.5000)  6 F 2.24-2.33
F (0.1864, 0.8136, 0.5000)  1 Bi 2.24, 2 Li 2.28
F (0.2902, 0.2902, 0.0000)  1 Li 1.95
F (0.7098, 0.7098, 0.0000)  1 Li 1.95
F (0.8136, 0.1864, 0.5000)  1 Bi 2.24, 2 Li 2.28

N(E_F)	0.0	states/eV/f.u.

y:
A geometry-optimized LiBiF4 structure, computed with PBE.

Lattice parameters (Å, degrees): 6.1604 6.1604 6.1604 107.73 107.73 113.02
Closest atoms and distances in Å follow each position.
Fractional coordinates of all 12 atoms:
Li (0.3750, 0.6250, 0.7500)  4 F 1.88
Li (0.6250, 0.3750, 0.2500)  4 F 1.88
Bi (0.1250, 0.8750, 0.2500)  8 F 2.34-2.45
Bi (0.8750, 0.1250, 0.7500)  8 F 2.34-2.45
F (0.1784, 0.2464, 0.5680)  1 Li 1.88
F (0.1784, 0.6104, 0.9320)  1 Li 1.88
F (0.2464, 0.1784, 0.0680)  1 Li 1.88
F (0.3896, 0.8216, 0.5680)  1 Li 1.88
F (0.6104, 0.1784, 0.4320)  1 Li 1.88
F (0.7536, 0.8216, 0.9320)  1 Li 1.88
F (0.8216, 0.3896, 0.0680)  1 Li 1.88
F (0.8216, 0.7536, 0.4320)  1 Li 1.88

N(E_F)	0.0	states/eV/f.u.

Stability check: which of them is most stable? w.

w:
A geometry-optimized Na2LiBiF6 structure, computed with PBE.

Lattice parameters (Å, degrees): 6.0352 6.0352 6.0352 60.00 60.00 60.00
Closest atoms and distances in Å follow each position.
Fractional coordinates of all 10 atoms:
Na (0.2500, 0.2500, 0.2500)  12 F 3.02
Na (0.7500, 0.7500, 0.7500)  12 F 3.02
Li (0.0000, 0.0000, 0.0000)  6 F 2.02
Bi (0.5000, 0.5000, 0.5000)  6 F 2.25
F (0.2368, 0.2368, 0.7632)  1 Li 2.02, 1 Bi 2.25
F (0.2368, 0.7632, 0.2368)  1 Li 2.02, 1 Bi 2.25
F (0.2368, 0.7632, 0.7632)  1 Li 2.02, 1 Bi 2.25
F (0.7632, 0.2368, 0.2368)  1 Li 2.02, 1 Bi 2.25
F (0.7632, 0.2368, 0.7632)  1 Li 2.02, 1 Bi 2.25
F (0.7632, 0.7632, 0.2368)  1 Li 2.02, 1 Bi 2.25

N(E_F)	0.0	states/eV/f.u.

x:
A geometry-optimized Na2LiBiF6 structure, computed with PBE.

Lattice parameters (Å, degrees): 5.6393 5.7846 9.9978 90.00 119.75 90.00
Closest atoms and distances in Å follow each position.
Fractional coordinates of all 20 atoms:
Na (0.2005, 0.0587, 0.2392)  6 F 2.31-2.56
Na (0.2005, 0.4413, 0.7392)  6 F 2.31-2.56
Na (0.7995, 0.5587, 0.2608)  6 F 2.31-2.56
Na (0.7995, 0.9413, 0.7608)  6 F 2.31-2.56
Li (0.0000, 0.0000, 0.5000)  4 F 2.01-2.05
Li (0.0000, 0.5000, 0.0000)  4 F 2.01-2.05
Bi (0.5000, 0.0000, 0.0000)  6 F 2.28-2.29
Bi (0.5000, 0.5000, 0.5000)  6 F 2.28-2.29
F (0.1170, 0.2154, 0.9322)  1 Li 2.01
F (0.1170, 0.2846, 0.4322)  1 Li 2.01
F (0.1995, 0.6973, 0.9166)  1 Li 2.05, 1 Bi 2.29
F (0.1995, 0.8027, 0.4166)  1 Li 2.05, 1 Bi 2.29
F (0.4043, 0.0757, 0.7541)  1 Bi 2.28, 2 Na 2.33-2.38, 1 Li 2.47
F (0.4043, 0.4243, 0.2541)  1 Bi 2.28, 2 Na 2.33-2.38, 1 Li 2.47
F (0.5957, 0.5757, 0.7459)  1 Bi 2.28, 2 Na 2.33-2.38, 1 Li 2.47
F (0.5957, 0.9243, 0.2459)  1 Bi 2.28, 2 Na 2.33-2.38, 1 Li 2.47
F (0.8005, 0.1973, 0.5834)  1 Li 2.05, 1 Bi 2.29
F (0.8005, 0.3027, 0.0834)  1 Li 2.05, 1 Bi 2.29
F (0.8830, 0.7154, 0.5678)  1 Li 2.01
F (0.8830, 0.7846, 0.0678)  1 Li 2.01

N(E_F)	0.0	states/eV/f.u.

Stability check: which of them is most stable? x.

w:
A geometry-optimized MgBiF5 structure, computed with PBE.

Lattice parameters (Å, degrees): 5.7465 5.7465 5.7465 140.21 107.92 85.64
Closest atoms and distances in Å follow each position.
Fractional coordinates of all 7 atoms:
Mg (0.0000, 0.0000, 0.0000)  6 F 1.96-2.05
Bi (0.5000, 0.5000, 0.0000)  6 F 2.20-2.36
F (0.0000, 0.5000, 0.5000)  2 Mg 1.96
F (0.2390, 0.2390, 0.0000)  1 Mg 2.01, 1 Bi 2.20
F (0.3038, 0.0000, 0.3038)  1 Mg 2.05
F (0.6962, 0.0000, 0.6962)  1 Mg 2.05
F (0.7610, 0.7610, 0.0000)  1 Mg 2.01, 1 Bi 2.20

N(E_F)	0.0	states/eV/f.u.

x:
A geometry-optimized MgBiF5 structure, computed with PBE.

Lattice parameters (Å, degrees): 5.6998 5.6998 7.7550 109.87 109.87 72.18
Closest atoms and distances in Å follow each position.
Fractional coordinates of all 14 atoms:
Mg (0.0000, 0.0000, 0.0000)  6 F 1.97-2.06
Mg (0.0000, 0.0000, 0.5000)  6 F 1.97-2.06
Bi (0.4446, 0.5554, 0.7500)  7 F 2.23-2.45
Bi (0.5554, 0.4446, 0.2500)  7 F 2.23-2.45
F (0.0874, 0.9126, 0.7500)  2 Mg 2.03
F (0.2212, 0.2492, 0.6200)  1 Mg 1.97
F (0.2492, 0.2212, 0.1200)  1 Mg 1.97
F (0.2968, 0.6911, 0.0382)  1 Mg 2.06
F (0.3089, 0.7032, 0.4618)  1 Mg 2.06
F (0.6911, 0.2968, 0.5382)  1 Mg 2.06
F (0.7032, 0.3089, 0.9618)  1 Mg 2.06
F (0.7508, 0.7788, 0.8800)  1 Mg 1.97
F (0.7788, 0.7508, 0.3800)  1 Mg 1.97
F (0.9126, 0.0874, 0.2500)  2 Mg 2.03

N(E_F)	0.0	states/eV/f.u.

Stability check: which of them is most stable? x.

w:
A geometry-optimized MgBi2F structure, computed with PBE.

Lattice parameters (Å, degrees): 11.1270 11.1270 11.1270 156.92 156.92 32.87
Closest atoms and distances in Å follow each position.
Fractional coordinates of all 8 atoms:
Mg (0.0000, 0.0000, 0.0000)  4 Bi 3.08, 4 F 3.15
Mg (0.7500, 0.2500, 0.5000)  4 Bi 3.08, 4 F 3.15
Bi (0.1163, 0.6250, 0.9913)  2 Mg 3.08, 4 Bi 3.09-3.20, 2 F 3.11
Bi (0.3750, 0.3663, 0.4913)  2 Mg 3.08, 4 Bi 3.09-3.20, 2 F 3.11
Bi (0.6337, 0.1250, 0.0087)  2 Mg 3.08, 4 Bi 3.09-3.20, 2 F 3.11
Bi (0.8750, 0.8837, 0.5087)  2 Mg 3.08, 4 Bi 3.09-3.20, 2 F 3.11
F (0.2500, 0.7500, 0.5000)  4 Bi 3.11, 4 Mg 3.15
F (0.5000, 0.5000, 0.0000)  4 Bi 3.11, 4 Mg 3.15

N(E_F)	2.1	states/eV/f.u.

x:
A geometry-optimized MgBi2F structure, computed with PBE.

Lattice parameters (Å, degrees): 5.0444 5.0444 5.0444 60.00 60.00 60.00
Closest atoms and distances in Å follow each position.
Fractional coordinates of all 4 atoms:
Mg (0.0000, 0.0000, 0.0000)  8 Bi 3.09
Bi (0.2500, 0.2500, 0.2500)  4 F 3.09, 4 Mg 3.09
Bi (0.7500, 0.7500, 0.7500)  4 Mg 3.09, 4 F 3.09
F (0.5000, 0.5000, 0.5000)  8 Bi 3.09

N(E_F)	1.6	states/eV/f.u.

Stability check: which of them is most stable? x.

w:
A geometry-optimized Mg2Bi2F structure, computed with PBE.

Lattice parameters (Å, degrees): 7.2460 7.2460 4.8285 90.00 90.00 90.00
Closest atoms and distances in Å follow each position.
Fractional coordinates of all 10 atoms:
Mg (0.1524, 0.3476, 0.0000)  6 Bi 3.05-3.34, 1 Mg 3.12
Mg (0.3476, 0.8476, 0.0000)  6 Bi 3.05-3.34, 1 Mg 3.12
Mg (0.6524, 0.1524, 0.0000)  6 Bi 3.05-3.34, 1 Mg 3.12
Mg (0.8476, 0.6524, 0.0000)  6 Bi 3.05-3.34, 1 Mg 3.12
Bi (0.1663, 0.6663, 0.5000)  2 F 2.70
Bi (0.3337, 0.1663, 0.5000)  2 F 2.70
Bi (0.6663, 0.8337, 0.5000)  2 F 2.70
Bi (0.8337, 0.3337, 0.5000)  2 F 2.70
F (0.0000, 0.0000, 0.5000)  4 Bi 2.70
F (0.5000, 0.5000, 0.5000)  4 Bi 2.70

N(E_F)	1.7	states/eV/f.u.

x:
A geometry-optimized Mg2Bi2F structure, computed with PBE.

Lattice parameters (Å, degrees): 5.8603 5.8603 5.8603 120.57 120.57 89.02
Closest atoms and distances in Å follow each position.
Fractional coordinates of all 5 atoms:
Mg (0.2500, 0.7500, 0.5000)  4 Bi 2.96
Mg (0.7500, 0.2500, 0.5000)  4 Bi 2.96
Bi (0.1840, 0.1840, 0.0000)  1 F 2.64, 4 Mg 2.96
Bi (0.8160, 0.8160, 0.0000)  1 F 2.64, 4 Mg 2.96
F (0.5000, 0.5000, 0.0000)  2 Bi 2.64

N(E_F)	2.5	states/eV/f.u.

Stability check: which of them is most stable? w.

w:
A geometry-optimized MgBiF2 structure, computed with PBE.

Lattice parameters (Å, degrees): 9.8389 9.8389 9.8389 18.75 18.75 18.75
Closest atoms and distances in Å follow each position.
Fractional coordinates of all 4 atoms:
Mg (0.0000, 0.0000, 0.0000)  6 F 2.06
Bi (0.5000, 0.5000, 0.5000)  6 Bi 3.21
F (0.3646, 0.3646, 0.3646)  3 Mg 2.06
F (0.6354, 0.6354, 0.6354)  3 Mg 2.06

N(E_F)	0.7	states/eV/f.u.

x:
A geometry-optimized MgBiF2 structure, computed with PBE.

Lattice parameters (Å, degrees): 6.0979 6.0979 6.0979 60.00 60.00 60.00
Closest atoms and distances in Å follow each position.
Fractional coordinates of all 8 atoms:
Mg (0.1250, 0.1250, 0.1250)  4 F 1.87
Mg (0.8750, 0.8750, 0.8750)  4 F 1.87
Bi (0.3750, 0.3750, 0.3750)  12 F 3.58, 4 Mg 3.73, 4 Bi 3.73
Bi (0.6250, 0.6250, 0.6250)  12 F 3.58, 4 Mg 3.73, 4 Bi 3.73
F (0.0000, 0.0000, 0.0000)  2 Mg 1.87
F (0.0000, 0.0000, 0.5000)  2 Mg 1.87
F (0.0000, 0.5000, 0.0000)  2 Mg 1.87
F (0.5000, 0.0000, 0.0000)  2 Mg 1.87

N(E_F)	0.3	states/eV/f.u.

Stability check: which of them is most stable? w.